[1]
# La2DyOs2N6 | Alexandria | GGA-PBE | relaxed
data_La2DyOs2N6
_space_group_name_H-M_alt 'R -3 m'
_space_group_IT_number 166
_space_group_name_Hall '-R 3 2"'
_cell_length_a 5.7775
_cell_length_b 5.7775
_cell_length_c 18.0633
_cell_angle_alpha 90.00
_cell_angle_beta 90.00
_cell_angle_gamma 120.00
loop_
_atom_site_label
_atom_site_type_symbol
_atom_site_fract_x
_atom_site_fract_y
_atom_site_fract_z
La1 La 0.0000 0.0000 0.2089
Dy1 Dy 0.0000 0.0000 0.0000
Os1 Os 0.0000 0.0000 0.3976
N1 N 0.0091 0.5045 0.7631
# Formation energy without anion corrections: -0.5583 eV per atom

=====

[2]
# Ac2Bi2H4Ru | Alexandria | GGA-PBE | relaxed
data_Ac2Bi2H4Ru
_space_group_name_H-M_alt 'I 4/m m m'
_space_group_IT_number 139
_space_group_name_Hall '-I 4 2'
_cell_length_a 6.5039
_cell_length_b 6.5039
_cell_length_c 8.6313
_cell_angle_alpha 90.00
_cell_angle_beta 90.00
_cell_angle_gamma 90.00
loop_
_atom_site_label
_atom_site_type_symbol
_atom_site_fract_x
_atom_site_fract_y
_atom_site_fract_z
Ac1 Ac 0.0000 0.5000 0.2500
Bi1 Bi 0.0000 0.0000 0.1772
H1 H 0.1892 0.1892 0.5000
Ru1 Ru 0.0000 0.0000 0.5000
# VASP energy: -4.476 eV per atom

=====

[3]
# Y4Al3Pt | Alexandria | GGA-PBE | relaxed
data_Y4Al3Pt
_space_group_name_H-M_alt 'P m m 2'
_space_group_IT_number 25
_cell_length_a 3.8434
_cell_length_b 4.4364
_cell_length_c 11.3328
_cell_angle_alpha 90.00
_cell_angle_beta 90.00
_cell_angle_gamma 90.00
loop_
_space_group_symop_operation_xyz
'x,y,z'
'-x,-y,z'
'-x,y,z'
'x,-y,z'
loop_
_atom_site_label
_atom_site_type_symbol
_atom_site_fract_x
_atom_site_fract_y
_atom_site_fract_z
Y1 Y 0.0000 0.0000 0.0000
Y2 Y 0.0000 0.5000 0.2772
Y3 Y 0.5000 0.0000 0.4731
Y4 Y 0.5000 0.5000 0.7884
Al1 Al 0.0000 0.0000 0.7019
Al2 Al 0.0000 0.5000 0.5638
Al3 Al 0.5000 0.5000 0.0647
Pt1 Pt 0.5000 0.0000 0.2045
# Formation energy: -0.64 eV per atom

=====

[4]
# Cr2NiTe | Alexandria | GGA-PBE | relaxed
data_Cr2NiTe
_space_group_name_H-M_alt 'F -4 3 m'
_space_group_IT_number 216
_space_group_name_Hall 'F -4 2 3'
_cell_length_a 6.2100
_cell_length_b 6.2100
_cell_length_c 6.2100
_cell_angle_alpha 90.00
_cell_angle_beta 90.00
_cell_angle_gamma 90.00
loop_
_atom_site_label
_atom_site_type_symbol
_atom_site_fract_x
_atom_site_fract_y
_atom_site_fract_z
Cr1 Cr 0.0000 0.0000 0.0000
Cr2 Cr 0.2500 0.2500 0.2500
Ni1 Ni 0.0000 0.0000 0.5000
Te1 Te 0.2500 0.2500 0.7500
# Formation energy without anion corrections: 0.3244 eV per atom